[1]
In2Co2Hg: relaxed, GGA-PBE.

- E above lowest polymorph: 62.4 meV per atom
- VASP energy: -3.753 eV/atom
- Space-group type: No. 139
- Formation enthalpy at 0 K: 245 meV/atom
- Total magnetic moment: 3.1 Bohr magnetons per cell

abc: 3.3294 3.3294 9.2315
angles: 79.61 79.61 90.00
Site moments in Bohr magnetons follow the coordinates.
Sites, in units of the cell vectors:
Co 0.7500 0.2500 0.5000  1.59
Co 0.2500 0.7500 0.5000  1.59
Hg 0.0000 0.0000 0.0000  -0.01
In 0.3734 0.3734 0.2532  -0.03
In 0.6266 0.6266 0.7468  -0.03


[2]
Pm4SbAsSe2: relaxed, GGA-PBE.

- VASP energy: -5.958 eV/atom
- Space-group type: No. 10
- Total magnetic moment: 0.0 Bohr magnetons per cell

abc: 4.2922 7.3943 7.4715
angles: 70.43 90.00 90.00
Sites, in units of the cell vectors:
Pm 0.0000 0.7538 0.7373
Pm 0.0000 0.2462 0.2627
Pm 0.5000 0.7455 0.2619
Pm 0.5000 0.2545 0.7381
Sb 0.5000 0.5000 0.0000
As 0.0000 0.5000 0.5000
Se 0.0000 0.0000 0.0000
Se 0.5000 0.0000 0.5000


Copy entry 1 word for word.
In2Co2Hg: relaxed, GGA-PBE.

- E above lowest polymorph: 62.4 meV per atom
- VASP energy: -3.753 eV/atom
- Space-group type: No. 139
- Formation enthalpy at 0 K: 245 meV/atom
- Total magnetic moment: 3.1 Bohr magnetons per cell

abc: 3.3294 3.3294 9.2315
angles: 79.61 79.61 90.00
Site moments in Bohr magnetons follow the coordinates.
Sites, in units of the cell vectors:
Co 0.7500 0.2500 0.5000  1.59
Co 0.2500 0.7500 0.5000  1.59
Hg 0.0000 0.0000 0.0000  -0.01
In 0.3734 0.3734 0.2532  -0.03
In 0.6266 0.6266 0.7468  -0.03


Q: Which value of VASP energy does entry 2 give?
A: -5.958 eV/atom